--- 1 ---
Compound: Hf2Zn2Pd
Source: Alexandria via LeMat-Bulk
Functional: PBE
Structure: optimized geometry

Computed properties:
The magnetic moment is 0.0 μB per formula unit.

POSCAR file:
```
Hf2Zn2Pd
1.0
6.716 0.000 0.000
0.000 6.716 0.000
0.000 0.000 3.883
Zn Hf Pd
4 4 2
direct
0.370 0.870 0.000 Zn
0.870 0.630 0.000 Zn
0.630 0.130 0.000 Zn
0.130 0.370 0.000 Zn
0.171 0.671 0.500 Hf
0.671 0.829 0.500 Hf
0.829 0.329 0.500 Hf
0.329 0.171 0.500 Hf
0.000 0.000 0.000 Pd
0.500 0.500 0.000 Pd
```

---

--- 2 ---
Compound: Hf2Zn2Pd
Source: Alexandria via LeMat-Bulk
Functional: PBE
Structure: optimized geometry

Computed properties:
The magnetic moment is 0.0 μB per formula unit.

POSCAR file:
```
Hf2Zn2Pd
1.0
-2.387 1.252 -1.310
-0.965 -3.728 -1.806
-4.278 -3.482 4.464
Hf Zn Pd
2 2 1
direct
0.500 0.388 0.224 Hf
0.500 0.612 0.776 Hf
0.000 0.200 0.600 Zn
0.000 0.800 0.400 Zn
0.000 0.000 0.000 Pd
```

---

Short version: 1 is the most stable of them.

---

--- 1 ---
Compound: Hf2Zr2Pd
Source: Alexandria via LeMat-Bulk
Functional: PBE
Structure: optimized geometry

Computed properties:
The magnetic moment is 0.0 μB per formula unit.

POSCAR file:
```
Hf2Zr2Pd
1.0
5.652 -1.284 0.636
1.619 5.590 0.604
0.718 0.447 3.228
Hf Zr Pd
2 2 1
direct
0.805 0.129 0.783 Hf
0.195 0.871 0.217 Hf
0.377 0.299 0.412 Zr
0.623 0.701 0.588 Zr
0.000 0.500 0.000 Pd
```

---

--- 2 ---
Compound: Hf2Zr2Pd
Source: Alexandria via LeMat-Bulk
Functional: PBE
Structure: optimized geometry

Computed properties:
The magnetic moment is 0.0 μB per formula unit.

POSCAR file:
```
Hf2Zr2Pd
1.0
-0.190 -3.752 -5.843
-3.836 -4.816 3.217
-3.863 2.212 -1.295
Hf Zr Pd
4 4 2
direct
0.350 0.850 0.000 Hf
0.850 0.650 0.000 Hf
0.650 0.150 0.000 Hf
0.150 0.350 0.000 Hf
0.152 0.652 0.500 Zr
0.652 0.848 0.500 Zr
0.848 0.348 0.500 Zr
0.348 0.152 0.500 Zr
0.000 0.000 0.000 Pd
0.500 0.500 0.000 Pd
```

---

--- 3 ---
Compound: Hf2Zr2Pd
Source: Alexandria via LeMat-Bulk
Functional: PBE
Structure: optimized geometry

Computed properties:
The magnetic moment is 0.0 μB per formula unit.

POSCAR file:
```
Hf2Zr2Pd
1.0
6.989 0.000 0.000
0.000 6.989 0.000
0.000 0.000 4.601
Hf Zr Pd
4 4 2
direct
0.152 0.652 0.500 Hf
0.652 0.848 0.500 Hf
0.848 0.348 0.500 Hf
0.348 0.152 0.500 Hf
0.351 0.851 0.000 Zr
0.851 0.649 0.000 Zr
0.649 0.149 0.000 Zr
0.149 0.351 0.000 Zr
0.000 0.000 0.000 Pd
0.500 0.500 0.000 Pd
```

---

Short version: 1 is the most stable of them.